Below is crystalline Li2CdF4 at its relaxed geometry, with properties calculated at the PBE level.

Computed properties:
* relative energy among the computed polymorphs: 12 meV per atom
* M_tot: 0.12 μB/f.u.
* energy: -4.332 eV per atom
* volume: 10.8 Å³ per atom

Structure (CIF):
```
data_Li2CdF4
_cell_length_a 3.0929
_cell_length_b 9.7899
_cell_length_c 9.9781
_cell_angle_alpha 90.00
_cell_angle_beta 90.00
_cell_angle_gamma 90.00
_symmetry_space_group_name_H-M 'C m c m'
_symmetry_Int_Tables_number 63
_symmetry_space_group_name_Hall '-C 2c 2'
loop_
_atom_site_label
_atom_site_type_symbol
_atom_site_fract_x
_atom_site_fract_y
_atom_site_fract_z
Li1 Li 0.0000 0.1278 0.0623
Cd1 Cd 0.0000 0.3854 0.2500
F1 F 0.0000 0.0545 0.2500
F2 F 0.0000 0.2231 0.6128
F3 F 0.0000 0.5000 0.0000
```